[1]
Here is crystalline RbCuSi3 at its relaxed geometry from Alexandria via LeMat-Bulk. Energies are from PBE.

a b c (Å): 5.4613 5.4613 5.4613
angles (deg): 90.00 90.00 90.00
Fractional coordinates of all 5 atoms:
Si (0.0000, 0.5000, 0.0000)
Si (0.0000, 0.0000, 0.5000)
Si (0.5000, 0.0000, 0.0000)
Cu (0.5000, 0.5000, 0.5000)
Rb (0.0000, 0.0000, 0.0000)

Properties
distance to the lowest polymorph of the same formula = 9.027 eV per formula unit



[2]
Here is crystalline RbCu9Si4 at its relaxed geometry from Alexandria via LeMat-Bulk. Energies are from PBE.

a b c (Å): 8.2125 8.2125 8.2765
angles (deg): 119.74 119.74 90.00
Fractional coordinates of all 28 atoms:
Rb (0.7500, 0.7500, 0.5000)
Rb (0.2500, 0.2500, 0.5000)
Cu (0.0651, 0.2059, 0.0000)
Cu (0.9349, 0.7941, 0.0000)
Cu (0.5651, 0.2941, 0.0000)
Cu (0.4349, 0.7059, 0.0000)
Cu (0.2941, 0.4349, 0.0000)
Cu (0.7059, 0.5651, 0.0000)
Cu (0.2059, 0.9349, 0.0000)
Cu (0.7941, 0.0651, 0.0000)
Cu (0.0000, 0.5000, 0.0000)
Cu (0.5000, 0.0000, 0.0000)
Cu (0.8061, 0.3061, 0.3664)
Cu (0.5603, 0.0603, 0.3664)
Cu (0.9397, 0.1939, 0.6336)
Cu (0.6939, 0.4397, 0.6336)
Cu (0.1939, 0.6939, 0.6336)
Cu (0.4397, 0.9397, 0.6336)
Cu (0.3061, 0.5603, 0.3664)
Cu (0.0603, 0.8061, 0.3664)
Si (0.2909, 0.7909, 0.2300)
Si (0.9392, 0.4392, 0.2300)
Si (0.5608, 0.7091, 0.7700)
Si (0.2091, 0.0608, 0.7700)
Si (0.7091, 0.2091, 0.7700)
Si (0.0608, 0.5608, 0.7700)
Si (0.7909, 0.9392, 0.2300)
Si (0.4392, 0.2909, 0.2300)

Properties
final energy = -4.301 eV per atom



[3]
Here is crystalline RbSr2CuSi at its relaxed geometry from Alexandria via LeMat-Bulk. Energies are from PBE.

a b c (Å): 6.6368 5.3248 6.6368
angles (deg): 90.00 90.00 90.00
Fractional coordinates of all 5 atoms:
Sr (0.0000, 0.0000, 0.5000)
Sr (0.5000, 0.0000, 0.0000)
Si (0.0000, 0.5000, 0.0000)
Cu (0.5000, 0.5000, 0.5000)
Rb (0.0000, 0.0000, 0.0000)

Properties
final energy = -1.444 eV per atom



[4]
Here is crystalline RbCuSi2Tc at its relaxed geometry from Alexandria via LeMat-Bulk. Energies are from PBE.

a b c (Å): 4.6449 5.1209 4.6449
angles (deg): 90.00 90.00 90.00
Site moments in Bohr magnetons follow the coordinates.
Fractional coordinates of all 5 atoms:
Si (0.0000, 0.0000, 0.5000)  -0.03
Si (0.5000, 0.0000, 0.0000)  -0.04
Cu (0.0000, 0.0000, 0.0000)  0.04
Tc (0.0000, 0.5000, 0.0000)  2.90
Rb (0.5000, 0.5000, 0.5000)  0.01

Properties
final energy = -4.159 eV per atom



[5]
Here is crystalline Rb2CuSiTe4 at its relaxed geometry from Alexandria via LeMat-Bulk. Energies are from PBE.

a b c (Å): 6.6658 8.3277 12.5780
angles (deg): 83.91 74.63 66.41
Fractional coordinates of all 16 atoms:
Rb (0.1807, 0.0000, 0.6386)
Rb (0.8193, 0.0000, 0.3614)
Rb (0.5693, 0.5000, 0.8614)
Rb (0.9307, 0.5000, 0.1386)
Cu (0.7500, 0.5000, 0.5000)
Cu (0.0000, 0.0000, 0.0000)
Si (0.2500, 0.5000, 0.5000)
Si (0.5000, 0.0000, 0.0000)
Te (0.3052, 0.8062, 0.1080)
Te (0.2194, 0.1938, 0.8920)
Te (0.8886, 0.8062, 0.8920)
Te (0.5868, 0.1938, 0.1080)
Te (0.4448, 0.6938, 0.3920)
Te (0.5306, 0.3062, 0.6080)
Te (0.8614, 0.6938, 0.6080)
Te (0.1632, 0.3062, 0.3920)

Properties
final energy = -3.464 eV per atom



[6]
Here is crystalline RbTlCu2Si at its relaxed geometry from Alexandria via LeMat-Bulk. Energies are from PBE.

a b c (Å): 4.6755 6.2304 4.6755
angles (deg): 90.00 90.00 90.00
Fractional coordinates of all 5 atoms:
Tl (0.5000, 0.5000, 0.5000)
Si (0.0000, 0.0000, 0.0000)
Cu (0.0000, 0.0000, 0.5000)
Cu (0.5000, 0.0000, 0.0000)
Rb (0.0000, 0.5000, 0.0000)

Properties
final energy = -2.904 eV per atom



[7]
Here is crystalline Rb2SmCu2Te4 at its relaxed geometry from Alexandria via LeMat-Bulk. Energies are from PBE.

a b c (Å): 4.3344 8.8591 8.3645
angles (deg): 107.81 105.02 90.00
Fractional coordinates of all 9 atoms:
Rb (0.1327, 0.5511, 0.2655)
Rb (0.8673, 0.4489, 0.7345)
Sm (0.0000, 0.0000, 0.0000)
Cu (0.6794, 0.9870, 0.3588)
Cu (0.3206, 0.0130, 0.6412)
Te (0.2039, 0.1718, 0.4079)
Te (0.7961, 0.8282, 0.5921)
Te (0.5243, 0.7648, 0.0487)
Te (0.4757, 0.2352, 0.9513)

Properties
final energy = -3.882 eV per atom



[8]
Here is crystalline RbCuSn3 at its relaxed geometry from Alexandria via LeMat-Bulk. Energies are from PBE.

a b c (Å): 4.9062 4.9063 6.7981
angles (deg): 68.73 68.73 90.05
Fractional coordinates of all 5 atoms:
Rb (0.3971, 0.2004, 0.9117)
Cu (0.0333, 0.8368, 0.6387)
Sn (0.6392, 0.9415, 0.4280)
Sn (0.1380, 0.4429, 0.4280)
Sn (0.8002, 0.6036, 0.1047)

Properties
formation enthalpy at 0 K = -0.603 eV/f.u.
distance to the lowest polymorph of the same formula = 0.000 eV per formula unit



[9]
Here is crystalline RbCu3Sn at its relaxed geometry from Alexandria via LeMat-Bulk. Energies are from PBE.

a b c (Å): 5.2697 5.2697 5.2697
angles (deg): 90.00 90.00 90.00
Fractional coordinates of all 5 atoms:
Cu (0.0000, 0.5000, 0.0000)
Cu (0.0000, 0.0000, 0.5000)
Cu (0.5000, 0.0000, 0.0000)
Sn (0.5000, 0.5000, 0.5000)
Rb (0.0000, 0.0000, 0.0000)

Properties
formation enthalpy at 0 K = 7.965 eV/f.u.
distance to the lowest polymorph of the same formula = 6.349 eV per formula unit



[10]
Here is crystalline RbCu2Sn2 at its relaxed geometry from Alexandria via LeMat-Bulk. Energies are from PBE.

a b c (Å): 4.7826 4.7826 7.0380
angles (deg): 70.14 70.14 90.00
Fractional coordinates of all 5 atoms:
Cu (0.3457, 0.3457, 0.3086)
Cu (0.6543, 0.6543, 0.6914)
Sn (0.7500, 0.2500, 0.5000)
Sn (0.2500, 0.7500, 0.5000)
Rb (0.0000, 0.0000, 0.0000)

Properties
formation enthalpy at 0 K = 0.407 eV/f.u.
distance to the lowest polymorph of the same formula = 0.298 eV per formula unit



[11]
Here is crystalline RbCu2Sn2 at its relaxed geometry from Alexandria via LeMat-Bulk. Energies are from PBE.

a b c (Å): 4.7146 4.7146 6.6771
angles (deg): 69.33 69.33 90.00
Fractional coordinates of all 5 atoms:
Cu (0.7500, 0.2500, 0.5000)
Cu (0.2500, 0.7500, 0.5000)
Sn (0.3539, 0.3539, 0.2923)
Sn (0.6461, 0.6461, 0.7077)
Rb (0.0000, 0.0000, 0.0000)

Properties
formation enthalpy at 0 K = 0.109 eV/f.u.
distance to the lowest polymorph of the same formula = 0.000 eV per formula unit



[12]
Here is crystalline RbCuSn4 at its relaxed geometry from Alexandria via LeMat-Bulk. Energies are from PBE.

a b c (Å): 5.6848 8.5239 10.0418
angles (deg): 115.11 106.39 90.00
Fractional coordinates of all 12 atoms:
Rb (0.8036, 0.8040, 0.6079)
Rb (0.1964, 0.1960, 0.3921)
Cu (0.2530, 0.5000, 0.0000)
Cu (0.7470, 0.5000, 0.0000)
Sn (0.1342, 0.6345, 0.2689)
Sn (0.4060, 0.2057, 0.8116)
Sn (0.0000, 0.2226, 0.0000)
Sn (0.5940, 0.3941, 0.1884)
Sn (0.8658, 0.3655, 0.7311)
Sn (0.5940, 0.7943, 0.1884)
Sn (0.0000, 0.7774, 0.0000)
Sn (0.4060, 0.6059, 0.8116)

Properties
formation enthalpy at 0 K = -0.649 eV/f.u.



[13]
Here is crystalline RbCu2Sn2 at its relaxed geometry from Alexandria via LeMat-Bulk. Energies are from PBE.

a b c (Å): 8.7497 8.7497 3.0260
angles (deg): 90.00 90.00 90.00
Fractional coordinates of all 10 atoms:
Cu (0.3626, 0.8626, 0.0000)
Cu (0.8626, 0.6374, 0.0000)
Cu (0.6374, 0.1374, 0.0000)
Cu (0.1374, 0.3626, 0.0000)
Sn (0.1399, 0.6399, 0.5000)
Sn (0.6399, 0.8601, 0.5000)
Sn (0.8601, 0.3601, 0.5000)
Sn (0.3601, 0.1399, 0.5000)
Rb (0.0000, 0.0000, 0.0000)
Rb (0.5000, 0.5000, 0.0000)

Properties
formation enthalpy at 0 K = 0.779 eV/f.u.
distance to the lowest polymorph of the same formula = 0.670 eV per formula unit



[14]
Here is crystalline RbCuSn3 at its relaxed geometry from Alexandria via LeMat-Bulk. Energies are from PBE.

a b c (Å): 6.1065 6.1065 6.1065
angles (deg): 90.00 90.00 90.00
Fractional coordinates of all 5 atoms:
Cu (0.5000, 0.5000, 0.5000)
Sn (0.0000, 0.5000, 0.0000)
Sn (0.0000, 0.0000, 0.5000)
Sn (0.5000, 0.0000, 0.0000)
Rb (0.0000, 0.0000, 0.0000)

Properties
formation enthalpy at 0 K = 8.319 eV/f.u.
distance to the lowest polymorph of the same formula = 8.922 eV per formula unit



[15]
Here is crystalline Rb2CuSn at its relaxed geometry from Alexandria via LeMat-Bulk. Energies are from PBE.

a b c (Å): 13.2397 13.2397 9.6776
angles (deg): 46.84 46.84 90.00
Fractional coordinates of all 8 atoms:
Cu (0.5000, 0.5000, 0.0000)
Cu (0.2500, 0.7500, 0.5000)
Sn (0.0000, 0.0000, 0.0000)
Sn (0.7500, 0.2500, 0.5000)
Rb (0.4320, 0.1250, 0.2500)
Rb (0.3180, 0.6250, 0.2500)
Rb (0.3750, 0.5680, 0.7500)
Rb (0.8750, 0.6820, 0.7500)

Properties
formation enthalpy at 0 K = 0.267 eV/f.u.



[16]
Here is crystalline RbCu4Sn12 at its relaxed geometry from Alexandria via LeMat-Bulk. Energies are from PBE.

a b c (Å): 8.2379 8.2379 8.2379
angles (deg): 109.47 109.47 109.47
Fractional coordinates of all 17 atoms:
Rb (0.0000, 0.0000, 0.0000)
Cu (0.0000, 0.5000, 0.0000)
Cu (0.5000, 0.0000, 0.0000)
Cu (0.5000, 0.5000, 0.5000)
Cu (0.0000, 0.0000, 0.5000)
Sn (0.8366, 0.3441, 0.1807)
Sn (0.3441, 0.5075, 0.1634)
Sn (0.8193, 0.1634, 0.6559)
Sn (0.3441, 0.1807, 0.8366)
Sn (0.1807, 0.8366, 0.3441)
Sn (0.6559, 0.4925, 0.8366)
Sn (0.5075, 0.1634, 0.3441)
Sn (0.4925, 0.8366, 0.6559)
Sn (0.6559, 0.8193, 0.1634)
Sn (0.8366, 0.6559, 0.4925)
Sn (0.1634, 0.3441, 0.5075)
Sn (0.1634, 0.6559, 0.8193)

Properties
formation enthalpy at 0 K = 0.327 eV/f.u.



[17]
Here is crystalline RbCuSn3 at its relaxed geometry from Alexandria via LeMat-Bulk. Energies are from PBE.

a b c (Å): 5.3187 5.3187 5.3187
angles (deg): 90.00 90.00 90.00
Fractional coordinates of all 5 atoms:
Cu (0.0000, 0.0000, 0.0000)
Sn (0.0000, 0.5000, 0.0000)
Sn (0.0000, 0.0000, 0.5000)
Sn (0.5000, 0.0000, 0.0000)
Rb (0.5000, 0.5000, 0.5000)

Properties
formation enthalpy at 0 K = 0.709 eV/f.u.
distance to the lowest polymorph of the same formula = 1.312 eV per formula unit



[18]
Here is crystalline Rb3CuSn at its relaxed geometry from Alexandria via LeMat-Bulk. Energies are from PBE.

a b c (Å): 6.4386 6.4386 6.4386
angles (deg): 90.00 90.00 90.00
Site moments in Bohr magnetons follow the coordinates.
Fractional coordinates of all 5 atoms:
Cu (0.0000, 0.0000, 0.0000)  0.01
Sn (0.5000, 0.5000, 0.5000)  0.59
Rb (0.0000, 0.5000, 0.0000)  0.01
Rb (0.0000, 0.0000, 0.5000)  0.01
Rb (0.5000, 0.0000, 0.0000)  0.01

Properties
formation enthalpy at 0 K = 1.768 eV/f.u.
distance to the lowest polymorph of the same formula = 0.000 eV per formula unit



[19]
Here is crystalline RbCu3Sn at its relaxed geometry from Alexandria via LeMat-Bulk. Energies are from PBE.

a b c (Å): 5.0665 5.0665 5.0665
angles (deg): 90.00 90.00 90.00
Fractional coordinates of all 5 atoms:
Cu (0.0000, 0.5000, 0.0000)
Cu (0.0000, 0.0000, 0.5000)
Cu (0.5000, 0.0000, 0.0000)
Sn (0.0000, 0.0000, 0.0000)
Rb (0.5000, 0.5000, 0.5000)

Properties
formation enthalpy at 0 K = 1.617 eV/f.u.
distance to the lowest polymorph of the same formula = 0.000 eV per formula unit



[20]
Here is crystalline Rb2CuSnTe4 at its relaxed geometry from Alexandria via LeMat-Bulk. Energies are from PBE.

a b c (Å): 7.0702 7.7234 13.1308
angles (deg): 82.92 74.38 62.76
Fractional coordinates of all 16 atoms:
Rb (0.1858, 0.0000, 0.6284)
Rb (0.8142, 0.0000, 0.3716)
Rb (0.5642, 0.5000, 0.8716)
Rb (0.9358, 0.5000, 0.1284)
Cu (0.2500, 0.5000, 0.5000)
Cu (0.5000, 0.0000, 0.0000)
Sn (0.7500, 0.5000, 0.5000)
Sn (0.0000, 0.0000, 0.0000)
Te (0.2984, 0.8075, 0.1270)
Te (0.2329, 0.1925, 0.8730)
Te (0.8941, 0.8075, 0.8730)
Te (0.5746, 0.1925, 0.1270)
Te (0.4516, 0.6925, 0.3730)
Te (0.5171, 0.3075, 0.6270)
Te (0.8559, 0.6925, 0.6270)
Te (0.1754, 0.3075, 0.3730)

Properties
final energy = -3.303 eV per atom